DFT (PBE-GGA) results for ZrAsW after structural relaxation.

Computed properties:
relative energy among the computed polymorphs = 0 meV/atom

a b c (Å): 6.167 6.167 6.167
angles (deg): 90.00 90.00 90.00
Atoms (fractional coordinates):
Zr1 0.000 0.000 0.000
Zr2 0.000 0.500 0.500
Zr3 0.500 0.000 0.500
Zr4 0.500 0.500 0.000
As1 0.250 0.250 0.750
As2 0.250 0.750 0.250
As3 0.750 0.250 0.250
As4 0.750 0.750 0.750
W1 0.000 0.000 0.500
W2 0.000 0.500 0.000
W3 0.500 0.000 0.000
W4 0.500 0.500 0.500